Entry 1:
Crystalline Ba3Ga4Sn4 at its relaxed geometry, computed with PBE-GGA.

a b c (Å): 14.0457 14.0457 14.0457
angles (deg): 160.72 158.51 29.03
Sites, in units of the cell vectors:
Ba 0.0000 0.0000 0.0000
Ba 0.1438 0.6438 0.5000
Ba 0.8562 0.3562 0.5000
Ga 0.3036 0.8036 0.5000
Ga 0.4545 0.4545 0.0000
Ga 0.5455 0.5455 0.0000
Ga 0.6964 0.1964 0.5000
Sn 0.2468 0.2468 0.0000
Sn 0.4039 0.9039 0.5000
Sn 0.5961 0.0961 0.5000
Sn 0.7532 0.7532 0.0000

Properties
DFT formation energy	-0.48	eV/atom
magnetization	0.00	μB/f.u.

Entry 2:
Crystalline Ba3Ga2Sn3 at its relaxed geometry, computed with PBE-GGA.

a b c (Å): 6.9266 6.9266 16.5783
angles (deg): 90.00 90.00 138.42
Sites, in units of the cell vectors:
Ba 0.0681 0.9319 0.6054
Ba 0.0681 0.9319 0.8946
Ba 0.3472 0.6528 0.7500
Ba 0.6528 0.3472 0.2500
Ba 0.9319 0.0681 0.1054
Ba 0.9319 0.0681 0.3946
Ga 0.2364 0.7636 0.1023
Ga 0.2364 0.7636 0.3977
Ga 0.7636 0.2364 0.6023
Ga 0.7636 0.2364 0.8977
Sn 0.3547 0.6453 0.5438
Sn 0.3547 0.6453 0.9562
Sn 0.3596 0.6404 0.2500
Sn 0.6404 0.3596 0.7500
Sn 0.6453 0.3547 0.0438
Sn 0.6453 0.3547 0.4562

Properties
DFT formation energy	-0.55	eV/atom
magnetization	0.00	μB/f.u.
excess energy over the best structure of this formula in the dataset	0.000	eV/atom

Entry 3:
Crystalline Ba2Ga2Sn3 at its relaxed geometry, computed with PBE-GGA.

a b c (Å): 6.9029 6.9029 7.3439
angles (deg): 98.63 98.63 39.35
Sites, in units of the cell vectors:
Ba 0.1502 0.1502 0.2421
Ba 0.8498 0.8498 0.7579
Ga 0.4296 0.4296 0.1082
Ga 0.5704 0.5704 0.8918
Sn 0.1431 0.1431 0.7383
Sn 0.5000 0.5000 0.5000
Sn 0.8569 0.8569 0.2617

Properties
DFT formation energy	-0.49	eV/atom
magnetization	0.00	μB/f.u.
excess energy over the best structure of this formula in the dataset	0.000	eV/atom

Entry 4:
Crystalline BaGaSn3 at its relaxed geometry, computed with PBE-GGA.

a b c (Å): 5.1536 5.1543 6.5211
angles (deg): 70.81 70.72 85.98
Sites, in units of the cell vectors:
Ba 0.0000 0.0000 0.0000
Ga 0.3271 0.3251 0.2612
Sn 0.2567 0.7265 0.4955
Sn 0.6216 0.6221 0.7922
Sn 0.7281 0.2572 0.4951

Properties
DFT formation energy	-0.34	eV/atom
magnetization	0.00	μB/f.u.
excess energy over the best structure of this formula in the dataset	0.000	eV/atom

Entry 5:
Crystalline Ba2GaSn3 at its relaxed geometry, computed with PBE-GGA.

a b c (Å): 4.8023 5.0088 8.6565
angles (deg): 90.00 90.00 90.00
Sites, in units of the cell vectors:
Ba 0.0000 0.0000 0.0000
Ba 0.5000 0.0000 0.4967
Ga 0.0000 0.5000 0.6668
Sn 0.0000 0.5000 0.3515
Sn 0.5000 0.5000 0.1601
Sn 0.5000 0.5000 0.8169

Properties
DFT formation energy	-0.51	eV/atom
magnetization	0.00	μB/f.u.
excess energy over the best structure of this formula in the dataset	0.047	eV/atom

Entry 6:
Crystalline BaGa3Sn at its relaxed geometry, computed with PBE-GGA.

a b c (Å): 5.4584 5.4584 5.4584
angles (deg): 90.00 90.00 90.00
Sites, in units of the cell vectors:
Ba 0.0000 0.0000 0.0000
Ga 0.0000 0.5000 0.5000
Ga 0.5000 0.0000 0.5000
Ga 0.5000 0.5000 0.0000
Sn 0.5000 0.5000 0.5000

Properties
DFT formation energy	0.07	eV/atom
magnetization	0.00	μB/f.u.
excess energy over the best structure of this formula in the dataset	0.484	eV/atom

Entry 7:
Crystalline Ba3Ga4Sn7 at its relaxed geometry, computed with PBE-GGA.

a b c (Å): 9.5728 9.5728 10.6297
angles (deg): 123.48 123.48 30.59
Sites, in units of the cell vectors:
Ba 0.0000 0.0000 0.0000
Ba 0.3160 0.3160 0.3085
Ba 0.6840 0.6840 0.6915
Ga 0.1445 0.1445 0.8738
Ga 0.3334 0.3334 0.7031
Ga 0.6666 0.6666 0.2969
Ga 0.8555 0.8555 0.1262
Sn 0.0000 0.0000 0.5000
Sn 0.1553 0.1553 0.4181
Sn 0.3315 0.3315 0.9664
Sn 0.4934 0.4934 0.7147
Sn 0.5066 0.5066 0.2853
Sn 0.6685 0.6685 0.0336
Sn 0.8447 0.8447 0.5819

Properties
DFT formation energy	-0.37	eV/atom
magnetization	0.00	μB/f.u.

Entry 8:
Crystalline Ba2Ga3Sn4 at its relaxed geometry, computed with PBE-GGA.

a b c (Å): 9.1968 9.1968 8.9025
angles (deg): 90.00 90.00 137.59
Sites, in units of the cell vectors:
Ba 0.1121 0.8879 0.9072
Ba 0.3879 0.6121 0.4072
Ba 0.6121 0.3879 0.5928
Ba 0.8879 0.1121 0.0928
Ga 0.0000 0.0000 0.5000
Ga 0.0241 0.4759 0.7500
Ga 0.4759 0.0241 0.2500
Ga 0.5000 0.5000 0.0000
Ga 0.5241 0.9759 0.7500
Ga 0.9759 0.5241 0.2500
Sn 0.1852 0.8148 0.5286
Sn 0.1881 0.3119 0.7500
Sn 0.3119 0.1881 0.2500
Sn 0.3148 0.6852 0.0286
Sn 0.6852 0.3148 0.9714
Sn 0.6881 0.8119 0.7500
Sn 0.8119 0.6881 0.2500
Sn 0.8148 0.1852 0.4714

Properties
DFT formation energy	-0.37	eV/atom
magnetization	0.00	μB/f.u.

Entry 9:
Crystalline BaGa3Sn3 at its relaxed geometry, computed with PBE-GGA.

a b c (Å): 7.6236 7.6236 7.6236
angles (deg): 90.00 90.00 90.00
Sites, in units of the cell vectors:
Ba 0.0000 0.0000 0.0000
Ba 0.5000 0.5000 0.5000
Ga 0.0000 0.2500 0.5000
Ga 0.0000 0.7500 0.5000
Ga 0.2500 0.5000 0.0000
Ga 0.5000 0.0000 0.2500
Ga 0.5000 0.0000 0.7500
Ga 0.7500 0.5000 0.0000
Sn 0.0000 0.5000 0.2500
Sn 0.0000 0.5000 0.7500
Sn 0.2500 0.0000 0.5000
Sn 0.5000 0.2500 0.0000
Sn 0.5000 0.7500 0.0000
Sn 0.7500 0.0000 0.5000

Properties
DFT formation energy	-0.16	eV/atom
magnetization	0.00	μB/f.u.
excess energy over the best structure of this formula in the dataset	0.030	eV/atom

Entry 10:
Crystalline Ba3Ga2Sn9 at its relaxed geometry, computed with PBE-GGA.

a b c (Å): 9.4683 9.4683 9.4683
angles (deg): 147.51 103.03 86.05
Sites, in units of the cell vectors:
Ba 0.0000 0.0000 0.0000
Ba 0.3093 0.3093 0.0000
Ba 0.6907 0.6907 0.0000
Ga 0.3200 0.5000 0.8200
Ga 0.6800 0.5000 0.1800
Sn 0.0049 0.6465 0.3584
Sn 0.1343 0.8582 0.2760
Sn 0.2881 0.6465 0.6416
Sn 0.4178 0.1418 0.2760
Sn 0.5000 0.0000 0.5000
Sn 0.5822 0.8582 0.7240
Sn 0.7119 0.3535 0.3584
Sn 0.8657 0.1418 0.7240
Sn 0.9951 0.3535 0.6416

Properties
DFT formation energy	-0.36	eV/atom
magnetization	0.00	μB/f.u.

Entry 11:
Crystalline Ba2GaSn6 at its relaxed geometry, computed with PBE-GGA.

a b c (Å): 7.3713 7.3713 7.3776
angles (deg): 119.85 119.85 59.90
Sites, in units of the cell vectors:
Ba 0.2495 0.2495 0.2484
Ba 0.7505 0.7505 0.7516
Ga 0.5000 0.5000 0.0000
Sn 0.2135 0.7859 0.7128
Sn 0.2141 0.7865 0.2872
Sn 0.2165 0.2165 0.7154
Sn 0.7835 0.7835 0.2846
Sn 0.7859 0.2135 0.7128
Sn 0.7865 0.2141 0.2872

Properties
DFT formation energy	-0.35	eV/atom
magnetization	0.00	μB/f.u.

Entry 12:
Crystalline Ba12GaSn6 at its relaxed geometry, computed with PBE-GGA.

a b c (Å): 10.1901 10.1901 10.1901
angles (deg): 100.03 100.03 100.03
Sites, in units of the cell vectors:
Ba 0.0608 0.3215 0.9368
Ba 0.0632 0.9392 0.6785
Ba 0.1761 0.5825 0.4354
Ba 0.3215 0.9368 0.0608
Ba 0.4175 0.5646 0.8239
Ba 0.4354 0.1761 0.5825
Ba 0.5646 0.8239 0.4175
Ba 0.5825 0.4354 0.1761
Ba 0.6785 0.0632 0.9392
Ba 0.8239 0.4175 0.5646
Ba 0.9368 0.0608 0.3215
Ba 0.9392 0.6785 0.0632
Ga 0.0000 0.0000 0.0000
Sn 0.1372 0.2964 0.6092
Sn 0.2964 0.6092 0.1372
Sn 0.3908 0.8628 0.7036
Sn 0.6092 0.1372 0.2964
Sn 0.7036 0.3908 0.8628
Sn 0.8628 0.7036 0.3908

Properties
DFT formation energy	-0.40	eV/atom
magnetization	2.05	μB/f.u.